Below is EuHoHg2 after structural relaxation, with properties calculated at the PBE level.

- energy relative to the elements (meV per atom) = -512
- total moment (μB per cell) = 7.1
- density of states at the Fermi level (states/eV/atom) = 2.35

Cell lengths 3.7867, 3.7867, 7.6243 Å; angles 90.00, 90.00, 90.00 degrees
Sites, in units of the cell vectors:
1 Eu 0.0000 0.0000 0.0000
2 Ho 0.0000 0.0000 0.5000
3 Hg 0.5000 0.5000 0.2735
4 Hg 0.5000 0.5000 0.7265